Entry 1:
Computed, not measured: a relaxed structure of Tb7Pb2C2 at the PBE level of DFT.

abc: 3.525 9.320 9.320
angles: 68.85 79.10 79.10
Atoms (fractional coordinates):
Tb 0.810 0.108 0.271
Tb 0.841 0.384 0.934
Tb 0.500 0.044 0.956
Tb 0.642 0.459 0.257
Tb 0.358 0.743 0.541
Tb 0.190 0.729 0.892
Tb 0.159 0.066 0.616
Pb 0.000 0.777 0.223
Pb 0.500 0.365 0.635
C 0.735 0.854 0.676
C 0.265 0.324 0.146

Results
**N(E_F)**: 7.71 states/eV/cell
**Energy of formation from the pure elements**: -0.184 eV per atom
**Calculated density**: 9.264 g cm⁻³
**Volume**: 278 Å³/f.u.

Entry 2:
Computed, not measured: a relaxed structure of GaCuBi at the PBE level of DFT.

abc: 4.132 3.945 10.523
angles: 98.46 90.00 121.58
Atoms (fractional coordinates):
Cu 0.189 0.378 0.065
Cu 0.811 0.622 0.935
Bi 0.264 0.528 0.334
Bi 0.736 0.472 0.666
Ga 0.128 0.257 0.831
Ga 0.872 0.743 0.169

Results
**Relative energy among the computed polymorphs**: 0.000 eV/atom
**N(E_F)**: 2.43 states/eV/cell
**Energy of formation from the pure elements**: 0.081 eV per atom
**Calculated density**: 7.897 g cm⁻³
**Volume**: 72 Å³/f.u.

Entry 3:
Computed, not measured: a relaxed structure of PAu2I at the PBE level of DFT.

abc: 4.934 4.934 4.934
angles: 60.00 60.00 60.00
Atoms (fractional coordinates):
I 0.500 0.500 0.500
P 0.000 0.000 0.000
Au 0.250 0.250 0.250
Au 0.750 0.750 0.750

Results
**ΔE_f (raw)**: 0.876 eV per atom
**Relative energy among the computed polymorphs**: 0.762 eV/atom
**N(E_F)**: 4.50 states/eV/cell
**Calculated density**: 10.789 g cm⁻³
**Volume**: 85 Å³/f.u.

Entry 4:
Computed, not measured: a relaxed structure of Sm4BBr2Cl at the PBE level of DFT.

abc: 3.988 7.067 7.518
angles: 107.90 90.00 90.00
Atoms (fractional coordinates):
Sm 0.500 0.270 0.203
Sm 0.500 0.730 0.797
Sm 0.000 0.295 0.806
Sm 0.000 0.705 0.194
B 0.500 0.500 0.000
Br 0.500 0.000 0.500
Br 0.000 0.500 0.500
Cl 0.000 0.000 0.000

Results
**ΔE_f (raw)**: -1.037 eV per atom
**N(E_F)**: 3.29 states/eV/cell
**Calculated density**: 6.650 g cm⁻³
**Volume**: 202 Å³/f.u.

Question: Which of these has the lowest calculated density?
Answer: Sm4BBr2Cl